1.
! PBE Rb2Tl6Bi3, optimized geometry; values from VASP
! Formation energy from the elements ... -89 meV/atom
! Total moment ... 0.00 μB per cell
&SYSTEM
  ibrav = 0, nat = 11, ntyp = 3
/
ATOMIC_SPECIES
Rb 85.47 Rb.upf
Tl 204.38 Tl.upf
Bi 208.98 Bi.upf
CELL_PARAMETERS angstrom
10.0640 0.0000 0.0000
-5.0320 8.7157 0.0000
0.0000 0.0000 4.9341
ATOMIC_POSITIONS crystal
Rb 0.3333 0.6667 0.0000
Rb 0.6667 0.3333 0.0000
Tl 0.0000 0.3015 0.5000
Tl 0.0000 0.8125 0.0000
Tl 0.1875 0.1875 0.0000
Tl 0.3015 0.0000 0.5000
Tl 0.6985 0.6985 0.5000
Tl 0.8125 0.0000 0.0000
Bi 0.0000 0.6229 0.5000
Bi 0.3771 0.3771 0.5000
Bi 0.6229 0.0000 0.5000

2.
! PBE LiUS4, optimized geometry; values from VASP
! Uncorrected formation energy ... -88.7 kJ/mol of atoms
! Total moment ... 1.00 μB per cell
&SYSTEM
  ibrav = 0, nat = 6, ntyp = 3
/
ATOMIC_SPECIES
Li 6.94 Li.upf
U 238.03 U.upf
S 32.06 S.upf
CELL_PARAMETERS angstrom
6.1809 0.0000 0.0000
0.0000 4.0369 0.0000
-2.5751 0.0000 5.7075
ATOMIC_POSITIONS crystal
Li 0.0000 0.0000 0.0000
U 0.5000 0.5000 0.5000
S 0.0251 0.5000 0.3448
S 0.4359 0.0000 0.2175
S 0.5641 0.0000 0.7825
S 0.9749 0.5000 0.6552

3.
! PBE SrSi3Au, optimized geometry; values from VASP
! Uncorrected formation energy ... 43.4 kJ/mol of atoms
! Total moment ... 0.00 μB per cell
&SYSTEM
  ibrav = 0, nat = 5, ntyp = 3
/
ATOMIC_SPECIES
Sr 87.62 Sr.upf
Si 28.09 Si.upf
Au 196.97 Au.upf
CELL_PARAMETERS angstrom
5.0171 0.0000 0.0000
0.0000 5.0171 0.0000
0.0000 0.0000 5.0171
ATOMIC_POSITIONS crystal
Sr 0.0000 0.0000 0.0000
Si 0.0000 0.5000 0.5000
Si 0.5000 0.0000 0.5000
Si 0.5000 0.5000 0.0000
Au 0.5000 0.5000 0.5000